w) Crystalline BeSeIO2 at its relaxed geometry. Source: Alexandria, functional PBE-GGA.

Calculated volume (Å³ per atom): 22.1

Cell: 3.8015 3.8015 7.6464 Å, 90.00 90.00 90.00°
Closest atoms and distances in Å follow each position.
Positions (direct):
Be 0.0000 0.0000 0.0000  4 I 2.69
Se 0.5000 0.5000 0.5000  4 O 1.90
I 0.5000 0.5000 0.0000  4 Be 2.69
O 0.0000 0.5000 0.5000  2 Se 1.90
O 0.5000 0.0000 0.5000  2 Se 1.90



x) Crystalline BeSeIO2 at its relaxed geometry. Source: Alexandria, functional PBE-GGA.

Calculated volume (Å³ per atom): 19.3

Cell: 3.7505 3.7505 6.8495 Å, 90.00 90.00 90.00°
Closest atoms and distances in Å follow each position.
Positions (direct):
Be 0.0000 0.0000 0.0000  4 O 1.88
Se 0.5000 0.5000 0.5000  4 I 2.65
I 0.0000 0.0000 0.5000  4 Se 2.65
O 0.0000 0.5000 0.0000  2 Be 1.88
O 0.5000 0.0000 0.0000  2 Be 1.88



Most stable one: x), least stable one: w).



w) Crystalline BeSeI2O at its relaxed geometry. Source: Alexandria, functional PBE-GGA.

Calculated volume (Å³ per atom): 25.2

Cell: 6.5798 6.5798 2.9063 Å, 90.00 90.00 90.00°
Closest atoms and distances in Å follow each position.
Positions (direct):
Be 0.0000 0.0000 0.0000  2 O 1.45
Se 0.5000 0.5000 0.5000  2 Se 2.91
I 0.0000 0.5000 0.0000  2 I 2.91
I 0.5000 0.0000 0.0000  2 I 2.91
O 0.0000 0.0000 0.5000  2 Be 1.45



x) Crystalline BeSeI2O at its relaxed geometry. Source: Alexandria, functional PBE-GGA.

Calculated volume (Å³ per atom): 25.9

Cell: 5.8323 5.8323 3.8090 Å, 90.00 90.00 90.00°
Closest atoms and distances in Å follow each position.
Positions (direct):
Be 0.0000 0.0000 0.0000  8 I 3.48, 2 Be 3.81
Se 0.5000 0.5000 0.5000  2 O 1.90
I 0.0000 0.5000 0.5000  2 Se 2.92
I 0.5000 0.0000 0.5000  2 Se 2.92
O 0.5000 0.5000 0.0000  2 Se 1.90



Most stable one: w), least stable one: x).



w) Crystalline BeSiI2O at its relaxed geometry. Source: Alexandria, functional PBE-GGA.

Calculated volume (Å³ per atom): 24.2

Cell: 6.4255 6.4255 2.9262 Å, 90.00 90.00 90.00°
Closest atoms and distances in Å follow each position.
Positions (direct):
Be 0.0000 0.0000 0.0000  2 O 1.46
Si 0.5000 0.5000 0.5000  2 Si 2.93
I 0.0000 0.5000 0.0000  2 I 2.93, 2 Be 3.21
I 0.5000 0.0000 0.0000  2 I 2.93, 2 Be 3.21
O 0.0000 0.0000 0.5000  2 Be 1.46



x) Crystalline BeSiI2O at its relaxed geometry. Source: Alexandria, functional PBE-GGA.

Calculated volume (Å³ per atom): 21.9

Cell: 5.5696 5.5696 3.5238 Å, 90.00 90.00 90.00°
Closest atoms and distances in Å follow each position.
Positions (direct):
Be 0.0000 0.0000 0.0000  8 I 3.30, 2 Be 3.52
Si 0.5000 0.5000 0.5000  2 O 1.76
I 0.0000 0.5000 0.5000  2 Si 2.78
I 0.5000 0.0000 0.5000  2 Si 2.78
O 0.5000 0.5000 0.0000  2 Si 1.76



Most stable one: w), least stable one: x).



w) Crystalline SrBeIO2 at its relaxed geometry. Source: Alexandria, functional PBE-GGA.

Calculated volume (Å³ per atom): 17.5

Cell: 4.2111 4.2111 4.9473 Å, 90.00 90.00 90.00°
Closest atoms and distances in Å follow each position.
Positions (direct):
Sr 0.0000 0.0000 0.0000  4 I 2.98, 8 O 3.25
Be 0.5000 0.5000 0.5000  4 O 2.11
I 0.5000 0.5000 0.0000  2 Be 2.47
O 0.0000 0.5000 0.5000  2 Be 2.11
O 0.5000 0.0000 0.5000  2 Be 2.11



x) Crystalline SrBeIO2 at its relaxed geometry. Source: Alexandria, functional PBE-GGA.

Calculated volume (Å³ per atom): 28.2

Cell: 4.4778 4.4778 7.0266 Å, 90.00 90.00 90.00°
Closest atoms and distances in Å follow each position.
Positions (direct):
Sr 0.0000 0.0000 0.0000  4 O 2.24
Be 0.5000 0.5000 0.5000  4 I 3.17
I 0.0000 0.0000 0.5000  4 Be 3.17, 2 Sr 3.51
O 0.0000 0.5000 0.0000  2 Sr 2.24
O 0.5000 0.0000 0.0000  2 Sr 2.24



Most stable one: w), least stable one: x).